An optimized crystal structure of MgBeGa. Source: Alexandria, functional PBE.

Cell and atoms, written as POSCAR:
```
MgBeGa
1.0
-0.296 -1.773 3.693
1.806 -3.624 0.689
3.295 -0.221 2.442
Mg Be Ga
1 1 1
Direct
0.000 0.000 0.000
0.250 0.250 0.250
0.500 0.500 0.500
```

## Properties
Calculated density: 3.5 g/cm3
E above lowest polymorph: 0.041 eV per atom
Crystal system: cubic
Space group: F-43m

An optimized crystal structure of Mg2BeGa. Source: Alexandria, functional PBE.

Cell and atoms, written as POSCAR:
```
Mg2BeGa
1.0
-0.440 1.172 4.399
-3.886 1.901 1.482
-2.808 -2.365 2.726
Be Ga Mg
1 1 2
Direct
0.000 0.000 0.000
0.500 0.500 0.500
0.750 0.750 0.750
0.250 0.250 0.250
```

## Properties
Calculated density: 3.1 g/cm3
E above lowest polymorph: 0.000 eV per atom
Crystal system: cubic
Space group: Fm-3m

An optimized crystal structure of MgBeGa2. Source: Alexandria, functional PBE.

Cell and atoms, written as POSCAR:
```
MgBeGa2
1.0
0.000 3.193 3.193
3.193 0.000 3.193
3.193 3.193 0.000
Mg Ga Be
1 2 1
Direct
0.500 0.500 0.500
0.250 0.250 0.250
0.750 0.750 0.750
0.000 0.000 0.000
```

## Properties
Calculated density: 4.4 g/cm3
E above lowest polymorph: 0.000 eV per atom
Crystal system: cubic
Space group: Fm-3m

An optimized crystal structure of Mg2BeNbGa. Source: Alexandria, functional PBE.

Cell and atoms, written as POSCAR:
```
Mg2BeNbGa
1.0
-1.389 -3.101 4.285
-2.549 -2.531 -2.658
4.272 -3.271 -0.983
Mg Be Nb Ga
2 1 1 1
Direct
0.500 0.000 0.000
0.000 0.000 0.500
0.000 0.500 0.000
0.000 0.000 0.000
0.500 0.500 0.500
```

## Properties
Total energy: -2.749 eV/atom
Calculated density: 2.7 g/cm3
Crystal system: tetragonal
Space group: P4/mmm

An optimized crystal structure of Mg2BeGa2Ni5. Source: Alexandria, functional PBE.

Cell and atoms, written as POSCAR:
```
Mg2BeGa2Ni5
1.0
-1.990 -0.892 1.787
3.140 -9.036 -1.012
6.048 1.276 7.371
Mg Ni Ga Be
4 10 4 2
Direct
0.000 0.168 0.332
0.000 0.668 0.168
0.000 0.832 0.668
0.000 0.332 0.832
0.500 0.000 0.500
0.500 0.546 0.681
0.500 0.819 0.954
0.500 0.046 0.819
0.500 0.454 0.319
0.500 0.954 0.181
0.500 0.500 0.000
0.500 0.681 0.454
0.500 0.319 0.546
0.500 0.181 0.046
0.000 0.861 0.361
0.000 0.639 0.861
0.000 0.139 0.639
0.000 0.361 0.139
0.000 0.000 0.000
0.000 0.500 0.500
```

## Properties
Total energy: -4.407 eV/atom
Calculated density: 6.2 g/cm3
Crystal system: tetragonal
Space group: P4/mbm

An optimized crystal structure of Mg2Be2GaNi5. Source: Alexandria, functional PBE.

Cell and atoms, written as POSCAR:
```
Mg2Be2GaNi5
1.0
-1.954 1.883 -1.555
-6.619 -5.339 1.852
-1.539 4.448 7.321
Mg Ga Ni Be
4 2 10 4
Direct
0.000 0.176 0.324
0.000 0.824 0.676
0.000 0.324 0.824
0.000 0.676 0.176
0.000 0.500 0.500
0.000 0.000 0.000
0.500 0.068 0.788
0.500 0.568 0.712
0.500 0.432 0.288
0.500 0.288 0.568
0.500 0.000 0.500
0.500 0.500 0.000
0.500 0.212 0.068
0.500 0.932 0.212
0.500 0.712 0.432
0.500 0.788 0.932
0.000 0.121 0.621
0.000 0.621 0.879
0.000 0.379 0.121
0.000 0.879 0.379
```

## Properties
Total energy: -4.589 eV/atom
Calculated density: 6.0 g/cm3
Crystal system: tetragonal
Space group: P4/mbm

An optimized crystal structure of PmMgBeGa. Source: Alexandria, functional PBE.

Cell and atoms, written as POSCAR:
```
PmMgBeGa
1.0
4.819 0.000 0.000
2.409 4.173 0.000
2.409 1.391 3.935
Pm Be Ga Mg
1 1 1 1
Direct
0.000 0.000 0.000
0.250 0.250 0.250
0.750 0.750 0.750
0.500 0.500 0.500
```

## Properties
Total energy: -3.409 eV/atom
Calculated density: 5.2 g/cm3
Crystal system: cubic
Space group: F-43m

An optimized crystal structure of Mg2BeGaPt2. Source: Alexandria, functional PBE.

Cell and atoms, written as POSCAR:
```
Mg2BeGaPt2
1.0
5.256 0.000 0.000
0.000 5.255 0.000
-2.628 -2.627 6.966
Be Ga Pt Mg
2 2 4 4
Direct
0.500 0.750 0.000
0.500 0.250 0.000
0.000 0.750 0.000
0.000 0.250 0.000
0.190 0.886 0.772
0.418 0.614 0.228
0.810 0.114 0.228
0.582 0.386 0.772
0.612 0.816 0.632
0.388 0.184 0.368
0.020 0.316 0.632
0.980 0.684 0.368
```

## Properties
Total energy: -4.313 eV/atom
Calculated density: 8.9 g/cm3
Crystal system: orthorhombic
Space group: Ibam

An optimized crystal structure of Mg2BeGa2Pt5. Source: Alexandria, functional PBE.

Cell and atoms, written as POSCAR:
```
Mg2BeGa2Pt5
1.0
3.554 0.000 0.000
0.000 9.439 0.000
0.000 0.000 9.439
Be Ga Mg Pt
2 4 4 10
Direct
0.000 0.500 0.500
0.000 0.000 0.000
0.000 0.132 0.632
0.000 0.868 0.368
0.000 0.632 0.868
0.000 0.368 0.132
0.000 0.169 0.331
0.000 0.331 0.831
0.000 0.669 0.169
0.000 0.831 0.669
0.500 0.571 0.691
0.500 0.191 0.071
0.500 0.500 0.000
0.500 0.071 0.809
0.500 0.000 0.500
0.500 0.691 0.429
0.500 0.429 0.309
0.500 0.309 0.571
0.500 0.929 0.191
0.500 0.809 0.929
```

## Properties
Total energy: -4.914 eV/atom
Calculated density: 12.3 g/cm3
Crystal system: tetragonal
Space group: P4/mbm

An optimized crystal structure of MgTi2BeGa. Source: Alexandria, functional PBE.

Cell and atoms, written as POSCAR:
```
MgTi2BeGa
1.0
-0.800 -0.304 -4.321
3.751 -2.343 -0.529
-2.237 -3.734 0.677
Mg Ti Ga Be
1 2 1 1
Direct
0.000 0.500 0.000
0.500 0.000 0.000
0.000 0.000 0.500
0.500 0.500 0.500
0.000 0.000 0.000
```

## Properties
Total energy: -4.576 eV/atom
Calculated density: 3.8 g/cm3
Crystal system: tetragonal
Space group: P4/mmm

An optimized crystal structure of TmMgBeGa. Source: Alexandria, functional PBE.

Cell and atoms, written as POSCAR:
```
TmMgBeGa
1.0
4.691 0.000 0.000
2.346 4.063 0.000
2.346 1.354 3.830
Tm Be Mg Ga
1 1 1 1
Direct
0.000 0.000 0.000
0.250 0.250 0.250
0.500 0.500 0.500
0.750 0.750 0.750
```

## Properties
Total energy: -3.349 eV/atom
Calculated density: 6.2 g/cm3
Crystal system: cubic
Space group: F-43m

An optimized crystal structure of MnBe2Ga2. Source: Alexandria, functional PBE.

Cell and atoms, written as POSCAR:
```
MnBe2Ga2
1.0
6.397 0.000 0.000
0.000 6.397 0.000
0.000 0.000 2.929
Mn Be Ga
2 4 4
Direct
0.000 0.000 0.000
0.500 0.500 0.000
0.122 0.378 0.000
0.622 0.122 0.000
0.878 0.622 0.000
0.378 0.878 0.000
0.175 0.675 0.500
0.325 0.175 0.500
0.825 0.325 0.500
0.675 0.825 0.500
```

## Properties
Total energy: -4.319 eV/atom
Calculated density: 5.9 g/cm3
Crystal system: tetragonal
Space group: P4/mbm

no.,DOS(E_F) (states/eV per atom)
1,0.499
2,0.429
3,0.137
4,0.892
5,0.513
6,0.441
7,0.304
8,0.360
9,0.359
10,0.426
11,0.189
12,0.425